ScTaOs2, optimized geometry, DFT GGA-PBEsol; calculated density = 15.22 g/cm³; DOS(E_F) = 4.5 states/eV per cell; distance to the lowest polymorph of the same formula = 0.534 eV/atom; space-group type = P4mm; ΔE_f = 1.1 kJ/mol of atoms
1.0
-1.7276 -2.1562 -0.4127
0.9411 -0.2530 -2.6181
6.0167 -5.3331 2.6780
Os Sc Ta
2 1 1
direct
0.0000 0.0000 0.0261 Os
0.5000 0.5000 0.2240 Os
0.0000 0.0000 0.4778 Sc
0.5000 0.5000 0.7721 Ta



ScTaOs2, optimized geometry, DFT GGA-PBEsol; calculated density = 16.00 g/cm³; DOS(E_F) = 0.3 states/eV per cell; distance to the lowest polymorph of the same formula = 0.000 eV/atom; space-group type = Fm-3m; ΔE_f = -50.4 kJ/mol of atoms
1.0
4.4650 0.0000 0.0000
2.2325 3.8668 0.0000
2.2325 1.2889 3.6456
Sc Os Ta
1 2 1
direct
0.0000 0.0000 0.0000 Sc
0.7500 0.7500 0.7500 Os
0.2500 0.2500 0.2500 Os
0.5000 0.5000 0.5000 Ta



ScTaOs2, optimized geometry, DFT GGA-PBEsol; calculated density = 15.85 g/cm³; DOS(E_F) = 2.4 states/eV per cell; distance to the lowest polymorph of the same formula = 0.395 eV/atom; space-group type = Pm; ΔE_f = -12.3 kJ/mol of atoms
1.0
2.8166 0.0000 0.0042
0.0000 4.4744 0.0000
-1.1137 0.0000 5.0376
Os Sc Ta
2 1 1
direct
0.0138 0.0000 0.9852 Os
0.7515 0.5000 0.2683 Os
0.5026 0.0000 0.4849 Sc
0.2322 0.5000 0.7616 Ta



Sc2TaOs, optimized geometry, DFT GGA-PBEsol; calculated density = 10.10 g/cm³; DOS(E_F) = 2.7 states/eV per cell; space-group type = P4mm; ΔE_f = -19.6 kJ/mol of atoms
1.0
3.1522 0.0000 0.0000
0.0000 3.1522 0.0000
0.0000 0.0000 7.6293
Os Sc Ta
1 2 1
direct
0.5000 0.5000 0.7353 Os
0.0000 0.0000 0.9477 Sc
0.5000 0.5000 0.2823 Sc
0.0000 0.0000 0.5348 Ta